(1)
# Ac3Nd, optimized geometry, DFT PBE-GGA
data_Ac3Nd
_cell_length_a 3.789
_cell_length_b 3.812
_cell_length_c 12.217
_cell_angle_alpha 90.00
_cell_angle_beta 90.00
_cell_angle_gamma 90.00
_symmetry_space_group_name_H-M 'P m m 2'
_symmetry_Int_Tables_number 25
loop_
_symmetry_equiv_pos_as_xyz
'x,y,z'
'-x,-y,z'
'-x,y,z'
'x,-y,z'
loop_
_atom_site_label
_atom_site_fract_x
_atom_site_fract_y
_atom_site_fract_z
_atom_site_occupancy
Ac1 0.000 0.000 0.000 1
Ac2 0.000 0.500 0.480 1
Ac3 0.500 0.500 0.761 1
Nd1 0.500 0.000 0.261 1
# Volume = 44.11 Å³/atom
# Energy above the most stable polymorph in this dataset = 188.1 meV per atom

(2)
# LiNd2Zn2Rh5, optimized geometry, DFT PBE-GGA
data_LiNd2Zn2Rh5
_cell_length_a 9.639
_cell_length_b 9.639
_cell_length_c 3.743
_cell_angle_alpha 90.00
_cell_angle_beta 90.00
_cell_angle_gamma 90.00
_symmetry_space_group_name_H-M 'P 4/m b m'
_symmetry_Int_Tables_number 127
_symmetry_space_group_name_Hall '-P 4 2ab'
loop_
_atom_site_label
_atom_site_fract_x
_atom_site_fract_y
_atom_site_fract_z
_atom_site_occupancy
Li1 0.000 0.000 0.000 1
Nd1 0.177 0.323 0.000 1
Zn1 0.122 0.622 0.000 1
Rh1 0.000 0.500 0.500 1
Rh2 0.065 0.797 0.500 1
# Volume = 17.39 Å³/atom
# DFT total energy = -54.83 eV/f.u.

(3)
# ScHgPb2, optimized geometry, DFT PBE-GGA
data_ScHgPb2
_cell_length_a 8.318
_cell_length_b 8.318
_cell_length_c 6.396
_cell_angle_alpha 90.00
_cell_angle_beta 90.00
_cell_angle_gamma 90.00
_symmetry_space_group_name_H-M 'I -4 2 d'
_symmetry_Int_Tables_number 122
_symmetry_space_group_name_Hall 'I -4 2bw'
loop_
_atom_site_label
_atom_site_fract_x
_atom_site_fract_y
_atom_site_fract_z
_atom_site_occupancy
Sc1 0.000 0.000 0.000 1
Hg1 0.000 0.000 0.500 1
Pb1 0.239 0.250 0.625 1
# Volume = 27.66 Å³/atom
# DFT total energy = -13.79 eV/f.u.

(4)
# ZnCrP2, optimized geometry, DFT PBE-GGA
data_ZnCrP2
_cell_length_a 2.905
_cell_length_b 2.945
_cell_length_c 6.547
_cell_angle_alpha 90.00
_cell_angle_beta 100.90
_cell_angle_gamma 90.00
_symmetry_space_group_name_H-M 'P 1 2/m 1'
_symmetry_Int_Tables_number 10
loop_
_symmetry_equiv_pos_as_xyz
'x,y,z'
'-x,-y,-z'
'-x,y,-z'
'x,-y,z'
loop_
_atom_site_label
_atom_site_fract_x
_atom_site_fract_y
_atom_site_fract_z
_atom_site_occupancy
Zn1 0.000 0.000 0.000 1
Cr1 0.000 0.000 0.500 1
P1 0.415 0.500 0.298 1
# Volume = 13.75 Å³/atom
# DFT total energy = -21.90 eV/f.u.

(5)
# PrHo2O, optimized geometry, DFT PBE-GGA
data_PrHo2O
_cell_length_a 3.205
_cell_length_b 3.205
_cell_length_c 8.830
_cell_angle_alpha 90.00
_cell_angle_beta 90.00
_cell_angle_gamma 90.00
_symmetry_space_group_name_H-M 'P 4/m m m'
_symmetry_Int_Tables_number 123
_symmetry_space_group_name_Hall '-P 4 2'
loop_
_atom_site_label
_atom_site_fract_x
_atom_site_fract_y
_atom_site_fract_z
_atom_site_occupancy
Pr1 0.000 0.000 0.000 1
Ho1 0.500 0.500 0.326 1
O1 0.000 0.000 0.500 1
# Raw formation energy = -0.7842 eV/atom
# Volume = 22.67 Å³/atom
# Energy above the most stable polymorph in this dataset = 434.7 meV per atom

(6)
# LiRuRh, optimized geometry, DFT PBE-GGA
data_LiRuRh
_cell_length_a 4.2686
_cell_length_b 4.2686
_cell_length_c 4.9435
_cell_angle_alpha 90.00
_cell_angle_beta 90.00
_cell_angle_gamma 120.00
_symmetry_space_group_name_H-M 'P 63/m m c'
_symmetry_Int_Tables_number 194
_symmetry_space_group_name_Hall '-P 6c 2c'
loop_
_atom_site_label
_atom_site_fract_x
_atom_site_fract_y
_atom_site_fract_z
_atom_site_occupancy
Li1 0.3333 0.6667 0.2500 1
Ru1 0.0000 0.0000 0.0000 1
Rh1 0.3333 0.6667 0.7500 1
# Volume = 13.00 Å³/atom
# Energy above the most stable polymorph in this dataset = 105.0 meV per atom